Material: LiSbS
Method: DFT, PBE
State: optimized geometry Values from VASP.

Its calculated volume is 72.2 Å³/f.u. The calculation puts the total energy at -4.111 eV/atom. The calculation puts the theoretical density at 3.7 Mg/m³. As for the symmetry: P1, No. 1. The formation energy (no corrections) comes out at -0.723 eV/atom.

Cell and atoms, written as Quantum ESPRESSO input:
```
&SYSTEM
  ibrav = 0, nat = 6, ntyp = 3
/
ATOMIC_SPECIES
Li 6.94 Li.upf
Sb 121.76 Sb.upf
S 32.06 S.upf
CELL_PARAMETERS angstrom
4.434 0.000 0.000
0.001 4.529 0.000
0.000 0.165 7.193
ATOMIC_POSITIONS crystal
Li 0.000 0.000 0.000
Li 0.499 0.501 0.008
Sb 0.002 0.531 0.513
Sb 0.502 0.965 0.494
S 0.000 0.505 0.855
S 0.500 0.996 0.153
```